A plane-wave DFT calculation with PBE was carried out for a geometry-optimized PrTlNO structure.

uncorrected energy	-24.6	eV/f.u.
crystal system	orthorhombic
total magnetic moment	0.0	μB per formula unit
distance to the lowest polymorph of the same formula	0.0	meV/atom

Cell lengths 4.664, 5.695, 5.284 Å; angles 90.00, 90.00, 90.00 degrees
Space group Pmc2_1 (No. 26)
Asymmetric unit:
Pr 0.000 0.234 0.000
Tl 0.500 0.247 0.500
N 0.000 0.198 0.499
O 0.500 0.332 0.996



A plane-wave DFT calculation with PBE was carried out for a geometry-optimized PrTlNO structure.

uncorrected energy	-24.3	eV/f.u.
crystal system	orthorhombic
total magnetic moment	0.0	μB per formula unit
distance to the lowest polymorph of the same formula	73.0	meV/atom

Cell lengths 4.102, 6.752, 6.017 Å; angles 90.00, 90.00, 90.00 degrees
Space group Pmc2_1 (No. 26)
Asymmetric unit:
Pr 0.000 0.186 0.000
Tl 0.500 0.327 0.503
N 0.500 0.342 0.896
O 0.000 0.137 0.378



A plane-wave DFT calculation with PBE was carried out for a geometry-optimized PrTlNO structure.

uncorrected energy	-24.5	eV/f.u.
crystal system	tetragonal
total magnetic moment	0.0	μB per formula unit
distance to the lowest polymorph of the same formula	28.8	meV/atom

Cell lengths 3.682, 3.682, 4.919 Å; angles 90.00, 90.00, 90.00 degrees
Space group P4/mmm (No. 123)
Asymmetric unit:
Pr 0.000 0.000 0.000
Tl 0.500 0.500 0.500
N 0.500 0.500 0.000
O 0.000 0.000 0.500



A plane-wave DFT calculation with PBE was carried out for a geometry-optimized PrTlNO structure.

uncorrected energy	-24.5	eV/f.u.
crystal system	tetragonal
total magnetic moment	0.0	μB per formula unit
distance to the lowest polymorph of the same formula	17.6	meV/atom

Cell lengths 5.270, 5.270, 4.854 Å; angles 90.00, 90.00, 90.00 degrees
Space group P4/nmm (No. 129, origin choice 2)
Asymmetric unit:
Pr 0.250 0.750 0.000
Tl 0.250 0.250 0.498
N 0.250 0.250 0.995
O 0.250 0.750 0.500



A plane-wave DFT calculation with PBE was carried out for a geometry-optimized PrTlNO structure.

uncorrected energy	-24.1	eV/f.u.
crystal system	orthorhombic
total magnetic moment	0.0	μB per formula unit
distance to the lowest polymorph of the same formula	129.2	meV/atom

Cell lengths 6.936, 7.786, 6.026 Å; angles 90.00, 90.00, 90.00 degrees
Space group Pca2_1 (No. 29)
Asymmetric unit:
Pr 0.078 0.137 0.000
Tl 0.090 0.641 0.002
N 0.095 0.113 0.608
O 0.070 0.606 0.603



A plane-wave DFT calculation with PBE was carried out for a geometry-optimized PrTlNO structure.

uncorrected energy	-23.9	eV/f.u.
crystal system	tetragonal
total magnetic moment	0.0	μB per formula unit
distance to the lowest polymorph of the same formula	186.5	meV/atom

Cell lengths 4.201, 4.201, 8.161 Å; angles 90.00, 90.00, 90.00 degrees
Space group P4/nmm (No. 129, origin choice 2)
Asymmetric unit:
Pr 0.250 0.250 0.135
Tl 0.250 0.750 0.500
N 0.250 0.250 0.668
O 0.250 0.750 0.000



A plane-wave DFT calculation with PBE was carried out for a geometry-optimized PrZnNO structure.

uncorrected energy	-24.9	eV/f.u.
crystal system	tetragonal
total magnetic moment	0.0	μB per formula unit
distance to the lowest polymorph of the same formula	120.7	meV/atom

Cell lengths 3.782, 3.782, 8.022 Å; angles 90.00, 90.00, 90.00 degrees
Space group P4/nmm (No. 129, origin choice 2)
Asymmetric unit:
Pr 0.250 0.250 0.163
Zn 0.250 0.750 0.500
N 0.250 0.250 0.632
O 0.250 0.750 0.000



A plane-wave DFT calculation with PBE was carried out for a geometry-optimized PrZnNO structure.

uncorrected energy	-25.0	eV/f.u.
crystal system	orthorhombic
total magnetic moment	0.0	μB per formula unit
distance to the lowest polymorph of the same formula	100.3	meV/atom

Cell lengths 3.496, 5.682, 5.898 Å; angles 90.00, 90.00, 90.00 degrees
Space group Pmc2_1 (No. 26)
Asymmetric unit:
Pr 0.000 0.204 0.000
Zn 0.500 0.243 0.526
N 0.500 0.045 0.249
O 0.000 0.400 0.617